No. 1
Below is a geometry-optimized MgZn5Pt3 structure, with properties calculated at the PBE-GGA level.

Unit cell a=5.3377 b=7.7689 c=6.8679 alpha=90.00 beta=90.00 gamma=90.00
Sites, in units of the cell vectors:
1 Mg 0.0000 0.0000 0.1508
2 Mg 0.5000 0.5000 0.8492
3 Zn 0.0000 0.5000 0.5421
4 Zn 0.2220 0.8290 0.8066
5 Zn 0.2352 0.6899 0.1840
6 Zn 0.2648 0.1899 0.8160
7 Zn 0.2780 0.3290 0.1934
8 Zn 0.5000 0.0000 0.4579
9 Zn 0.7220 0.6710 0.1934
10 Zn 0.7352 0.8101 0.8160
11 Zn 0.7648 0.3101 0.1840
12 Zn 0.7780 0.1710 0.8066
13 Pt 0.0000 0.5000 0.9311
14 Pt 0.0524 0.1794 0.4815
15 Pt 0.4476 0.6794 0.5185
16 Pt 0.5000 0.0000 0.0689
17 Pt 0.5524 0.3206 0.5185
18 Pt 0.9476 0.8206 0.4815

Output
- DOS(E_F) (states/eV/f.u.) = 2.76
- crystal system = orthorhombic
- E_form (eV/atom) = -0.388

***

No. 2
Below is a geometry-optimized Li2NiAg structure, with properties calculated at the PBE-GGA level.

Unit cell a=2.7569 b=2.7569 c=7.3381 alpha=90.00 beta=90.00 gamma=90.00
Sites, in units of the cell vectors:
1 Li 0.0000 0.0000 0.2235
2 Li 0.0000 0.0000 0.7765
3 Ni 0.5000 0.5000 0.0000
4 Ag 0.5000 0.5000 0.5000

Output
- DOS(E_F) (states/eV/f.u.) = 1.83
- crystal system = tetragonal
- E_form (eV/atom) = -0.018

***

No. 3
Below is a geometry-optimized Tl5GaCl8 structure, with properties calculated at the PBE-GGA level.

Unit cell a=9.0875 b=9.0875 c=9.0875 alpha=119.93 beta=119.93 gamma=90.12
Sites, in units of the cell vectors:
1 Tl 0.0000 0.0000 0.0000
2 Tl 0.1191 0.3720 0.7453
3 Tl 0.6262 0.8809 0.2529
4 Tl 0.6267 0.3738 0.2547
5 Tl 0.6280 0.3733 0.7471
6 Ga 0.2500 0.7500 0.5000
7 Cl 0.3483 0.6508 0.3007
8 Cl 0.3492 0.6499 0.6975
9 Cl 0.3501 0.0476 0.6993
10 Cl 0.4159 0.1391 0.2784
11 Cl 0.8607 0.1375 0.7216
12 Cl 0.8609 0.1393 0.2768
13 Cl 0.8625 0.5841 0.7232
14 Cl 0.9524 0.6517 0.3025

Output
- DOS(E_F) (states/eV/f.u.) = 0.00
- crystal system = tetragonal
- formation energy from raw total energies (kJ per mole of atoms) = -102.7

***

No. 4
Below is a geometry-optimized Ac2PmPrDy structure, with properties calculated at the PBE-GGA level.

Unit cell a=6.5095 b=8.8820 c=6.8554 alpha=90.00 beta=90.00 gamma=90.00
Sites, in units of the cell vectors:
1 Ac 0.2500 0.2053 0.2100
2 Ac 0.2500 0.7947 0.2100
3 Ac 0.7500 0.2053 0.7900
4 Ac 0.7500 0.7947 0.7900
5 Pm 0.2500 0.0000 0.6805
6 Pm 0.7500 0.0000 0.3195
7 Pr 0.2500 0.5000 0.9143
8 Pr 0.7500 0.5000 0.0857
9 Dy 0.0000 0.5000 0.5000
10 Dy 0.5000 0.5000 0.5000

Output
- DOS(E_F) (states/eV/f.u.) = 6.74
- crystal system = orthorhombic
- E_form (eV/atom) = 0.249